Density functional theory data (PBE) for MgAl2Ag3 after structural relaxation.

a = 4.5287 Å, b = 4.5287 Å, c = 12.0567 Å
α = 90.00°, β = 90.00°, γ = 120.00°
Last column: nearest neighbours and their distance in Å.
Space group P6_3/mmc (No. 194)
Symmetry-distinct sites (fractional):
1 Mg 0.0000 0.0000 0.2500 x2  8 Ag 2.98-3.01, 6 Al 3.17
2 Al 0.3333 0.6667 0.1010 x4  7 Ag 2.64-2.88
3 Ag 0.0000 0.0000 0.0000 x2  6 Al 2.88, 2 Mg 3.01, 6 Ag 3.06
4 Ag 0.3333 0.6667 0.6314 x4  4 Al 2.64-2.80, 1 Ag 2.86

Results
The formation energy comes out at -83 meV/atom. Its calculated volume is 214.1 Å³ per cell. The energy above the lowest structure with this stoichiometry comes out at 0.007 eV/atom. The total magnetization comes out at 0.00 μB/f.u. The value obtained for the density of states at the Fermi level is 3.491 states/eV per cell. The total energy comes out at -3.02 eV/atom.